Entry 1:
# meta-GGA SCAN SbAs2Ru, PBEsol geometry
data_SbAs2Ru
_cell_length_a 3.212
_cell_length_b 4.587
_cell_length_c 4.824
_cell_angle_alpha 90.00
_cell_angle_beta 90.00
_cell_angle_gamma 90.00
_space_group_name_H-M_alt 'P m m m'
_space_group_IT_number 47
loop_
_space_group_symop_operation_xyz
'x,y,z'
'-x,-y,-z'
'-x,-y,z'
'x,y,-z'
'x,-y,-z'
'-x,y,z'
'-x,y,-z'
'x,-y,z'
loop_
_atom_site_label
_atom_site_type_symbol
_atom_site_fract_x
_atom_site_fract_y
_atom_site_fract_z
_atom_site_occupancy
Sb1 Sb 0.000 0.000 0.000 1
As1 As 0.000 0.500 0.500 1
As2 As 0.500 0.000 0.500 1
Ru1 Ru 0.500 0.500 0.000 1
# Final energy, eV per cell: -110.38
# Crystal system: orthorhombic
# D(E_F), states/eV per atom: 0.76


Entry 2:
# meta-GGA SCAN SbAs2Ru2, PBEsol geometry
data_SbAs2Ru2
_cell_length_a 3.870
_cell_length_b 3.870
_cell_length_c 11.718
_cell_angle_alpha 90.00
_cell_angle_beta 90.00
_cell_angle_gamma 90.00
_space_group_name_H-M_alt 'I 4/m m m'
_space_group_IT_number 139
_space_group_name_Hall '-I 4 2'
loop_
_atom_site_label
_atom_site_type_symbol
_atom_site_fract_x
_atom_site_fract_y
_atom_site_fract_z
_atom_site_occupancy
Sb1 Sb 0.000 0.000 0.000 1
As1 As 0.000 0.500 0.250 1
Ru1 Ru 0.000 0.000 0.379 1
# Final energy, eV per cell: -293.87
# Crystal system: tetragonal
# D(E_F), states/eV per atom: 0.72


Entry 3:
# meta-GGA SCAN SbAs2RuSe, PBEsol geometry
data_SbAs2RuSe
_cell_length_a 4.607
_cell_length_b 4.607
_cell_length_c 5.227
_cell_angle_alpha 90.00
_cell_angle_beta 90.00
_cell_angle_gamma 90.00
_space_group_name_H-M_alt 'P 4/m m m'
_space_group_IT_number 123
_space_group_name_Hall '-P 4 2'
loop_
_atom_site_label
_atom_site_type_symbol
_atom_site_fract_x
_atom_site_fract_y
_atom_site_fract_z
_atom_site_occupancy
Sb1 Sb 0.000 0.000 0.000 1
As1 As 0.000 0.500 0.500 1
Ru1 Ru 0.500 0.500 0.500 1
Se1 Se 0.500 0.500 0.000 1
# Final energy, eV per cell: -130.42
# Crystal system: tetragonal
# D(E_F), states/eV per atom: 0.63


Entry 4:
# meta-GGA SCAN Sb2TeAsRu, PBEsol geometry
data_Sb2TeAsRu
_cell_length_a 5.211
_cell_length_b 5.211
_cell_length_c 5.133
_cell_angle_alpha 90.00
_cell_angle_beta 90.00
_cell_angle_gamma 90.00
_space_group_name_H-M_alt 'P 4/m m m'
_space_group_IT_number 123
_space_group_name_Hall '-P 4 2'
loop_
_atom_site_label
_atom_site_type_symbol
_atom_site_fract_x
_atom_site_fract_y
_atom_site_fract_z
_atom_site_occupancy
Sb1 Sb 0.000 0.500 0.000 1
Te1 Te 0.000 0.000 0.500 1
As1 As 0.000 0.000 0.000 1
Ru1 Ru 0.500 0.500 0.500 1
# Final energy, eV per cell: -160.15
# Crystal system: tetragonal
# D(E_F), states/eV per atom: 0.71


Entry 5:
# meta-GGA SCAN Sc3AsRu, PBEsol geometry
data_Sc3AsRu
_cell_length_a 4.844
_cell_length_b 4.844
_cell_length_c 4.844
_cell_angle_alpha 90.00
_cell_angle_beta 90.00
_cell_angle_gamma 90.00
_space_group_name_H-M_alt 'P m -3 m'
_space_group_IT_number 221
_space_group_name_Hall '-P 4 2 3'
loop_
_atom_site_label
_atom_site_type_symbol
_atom_site_fract_x
_atom_site_fract_y
_atom_site_fract_z
_atom_site_occupancy
Sc1 Sc 0.000 0.000 0.500 1
As1 As 0.000 0.000 0.000 1
Ru1 Ru 0.500 0.500 0.500 1
# Final energy, eV per cell: -97.31
# Crystal system: cubic
# D(E_F), states/eV per atom: 0.94
# Formation energy, eV/atom: 0.08


Entry 6:
# meta-GGA SCAN ScAs2Ru, PBEsol geometry
data_ScAs2Ru
_cell_length_a 3.107
_cell_length_b 3.726
_cell_length_c 11.689
_cell_angle_alpha 90.00
_cell_angle_beta 90.00
_cell_angle_gamma 90.00
_space_group_name_H-M_alt 'I m m 2'
_space_group_IT_number 44
loop_
_space_group_symop_operation_xyz
'x,y,z'
'-x,-y,z'
'-x,y,z'
'x,-y,z'
'x+1/2,y+1/2,z+1/2'
'-x+1/2,-y+1/2,z+1/2'
'-x+1/2,y+1/2,z+1/2'
'x+1/2,-y+1/2,z+1/2'
loop_
_atom_site_label
_atom_site_type_symbol
_atom_site_fract_x
_atom_site_fract_y
_atom_site_fract_z
_atom_site_occupancy
Sc1 Sc 0.000 0.000 0.000 1
As1 As 0.000 0.000 0.405 1
As2 As 0.000 0.500 0.168 1
Ru1 Ru 0.000 0.500 0.741 1
# Final energy, eV per cell: -184.47
# Energy above the most stable polymorph in this dataset, meV/atom: 18
# Crystal system: orthorhombic
# D(E_F), states/eV per atom: 0.45
# Formation energy, eV/atom: -0.70